MnAlAuF6 | the Alexandria database | PBE with a Hubbard U | optimized geometry; calculated total energy = -5.336 eV/atom; total magnetic moment = 9.82 μB per cell; space-group type = No. 163
1.0
5.420 0.000 0.000
-2.710 4.694 0.000
0.000 0.000 10.379
Mn Al Au F
2 2 2 12
direct
0.333 0.667 0.250 Mn
0.667 0.333 0.750 Mn
0.333 0.667 0.750 Al
0.667 0.333 0.250 Al
0.000 0.000 0.000 Au
0.000 0.000 0.500 Au
0.042 0.397 0.651 F
0.042 0.645 0.849 F
0.355 0.397 0.849 F
0.355 0.958 0.651 F
0.397 0.042 0.151 F
0.397 0.355 0.349 F
0.603 0.645 0.651 F
0.603 0.958 0.849 F
0.645 0.042 0.349 F
0.645 0.603 0.151 F
0.958 0.355 0.151 F
0.958 0.603 0.349 F